Entry 1:
SmCd3Ni8: optimized geometry, PBE.

Calculated values
The raw total energy is -4.600 eV per atom. The calculation puts the total magnetic moment at 0.978 μB/f.u.

Cell lengths 4.9591, 4.9591, 24.3587 Å; angles 90.00, 90.00, 120.00 degrees
Space group R3m (No. 160, hexagonal axes)
Unique sites:
Sm (0.0000, 0.0000, 0.0000)
Cd (0.0000, 0.0000, 0.1276)
Cd (0.0000, 0.0000, 0.4973)
Cd (0.0000, 0.0000, 0.6180)
Ni (0.0000, 0.0000, 0.3114)
Ni (0.0000, 0.0000, 0.8117)
Ni (0.0005, 0.5003, 0.0630)
Ni (0.1679, 0.3358, 0.8939)



Entry 2:
SmCdNi5: optimized geometry, PBE.

Calculated values
The raw total energy is -5.163 eV per atom. The calculation puts the total magnetic moment at 0.849 μB/f.u.

Cell lengths 8.1646, 4.8711, 10.3518 Å; angles 90.00, 90.00, 90.00 degrees
Space group Pnma (No. 62)
Unique sites:
Sm (0.2468, 0.2500, 0.0604)
Cd (0.1374, 0.7500, 0.8637)
Ni (0.0469, 0.7500, 0.1115)
Ni (0.0678, 0.9997, 0.3129)
Ni (0.0796, 0.2500, 0.5163)
Ni (0.1882, 0.2500, 0.7394)



Entry 3:
SmCd9Ni3: optimized geometry, PBE.

Calculated values
The raw total energy is -2.417 eV per atom. The calculation puts the total magnetic moment at 0.000 μB/f.u.

Cell lengths 5.4827, 13.8605, 7.1984 Å; angles 90.00, 111.28, 90.00 degrees
Space group C2/m (No. 12)
Unique sites:
Sm (0.0000, 0.0000, 0.0000)
Cd (0.0000, 0.0000, 0.5000)
Cd (0.0934, 0.3882, 0.2129)
Cd (0.1634, 0.1753, 0.3270)
Ni (0.0000, 0.5000, 0.5000)
Ni (0.2500, 0.2500, 0.0000)



Entry 4:
SmCd2Ni9: optimized geometry, PBE.

Calculated values
The raw total energy is -5.033 eV per atom. The calculation puts the total magnetic moment at 3.317 μB/f.u.

Cell lengths 4.9243, 4.9243, 23.7488 Å; angles 90.00, 90.00, 120.00 degrees
Space group R-3m (No. 166, hexagonal axes)
Unique sites:
Sm (0.0000, 0.0000, 0.0000)
Cd (0.0000, 0.0000, 0.1434)
Ni (0.0000, 0.0000, 0.3338)
Ni (0.0000, 0.0000, 0.5000)
Ni (0.0016, 0.5008, 0.9165)



Entry 5:
Sm12CdNi6: optimized geometry, PBE.

Calculated values
The raw total energy is -5.132 eV per atom. The calculation puts the total magnetic moment at 0.000 μB/f.u.

Cell lengths 9.9200, 9.9200, 9.9200 Å; angles 90.00, 90.00, 90.00 degrees
Space group Im-3 (No. 204)
Unique sites:
Sm (0.0000, 0.1863, 0.3052)
Cd (0.0000, 0.0000, 0.0000)
Ni (0.0000, 0.3781, 0.5000)



Entry 6:
SmCd4Ni: optimized geometry, PBE.

Calculated values
The raw total energy is -2.466 eV per atom. The calculation puts the total magnetic moment at 0.000 μB/f.u.

Cell lengths 5.3237, 7.0025, 14.3872 Å; angles 90.00, 90.00, 90.00 degrees
Space group Immm (No. 71)
Unique sites:
Sm (0.0000, 0.0000, 0.2068)
Cd (0.0000, 0.1955, 0.0000)
Cd (0.0000, 0.2730, 0.3870)
Cd (0.0000, 0.5000, 0.1624)
Ni (0.2258, 0.0000, 0.5000)



Entry 7:
SmCd20Ni2: optimized geometry, PBE.

Calculated values
The raw total energy is -1.590 eV per atom. The calculation puts the total magnetic moment at 0.000 μB/f.u.

Cell lengths 15.7632, 15.7632, 15.7632 Å; angles 90.00, 90.00, 90.00 degrees
Space group Fd-3m (No. 227, origin choice 2)
Unique sites:
Sm (0.1250, 0.1250, 0.1250)
Cd (0.0000, 0.0000, 0.0000)
Cd (0.0120, 0.3750, 0.8750)
Cd (0.0599, 0.0599, 0.3240)
Ni (0.0000, 0.0000, 0.5000)



Entry 8:
Sm4CdNi: optimized geometry, PBE.

Calculated values
The raw total energy is -4.315 eV per atom. The calculation puts the total magnetic moment at 0.000 μB/f.u. The polymorph energy (0 for the lowest one) comes out at 210 meV per atom.

Cell lengths 7.0566, 7.4676, 7.0410 Å; angles 90.00, 96.54, 90.00 degrees
Space group P2_1/c (No. 14)
Unique sites:
Sm (0.1478, 0.1747, 0.1949)
Sm (0.3238, 0.6457, 0.0993)
Cd (0.5000, 0.0000, 0.0000)
Ni (0.0000, 0.0000, 0.5000)



Entry 9:
Sm12CdNi5: optimized geometry, PBE.

Calculated values
The raw total energy is -5.055 eV per atom. The calculation puts the total magnetic moment at 0.000 μB/f.u.

Cell lengths 9.5283, 9.8241, 10.0981 Å; angles 90.00, 90.00, 90.00 degrees
Space group Immm (No. 71)
Unique sites:
Sm (0.0000, 0.1896, 0.2099)
Sm (0.1942, 0.5000, 0.1769)
Sm (0.2030, 0.3199, 0.5000)
Cd (0.0000, 0.0000, 0.5000)
Ni (0.0000, 0.0000, 0.0000)
Ni (0.0000, 0.3668, 0.0000)
Ni (0.0000, 0.5000, 0.3759)



Entry 10:
Sm6Cd2Ni: optimized geometry, PBE.

Calculated values
The raw total energy is -4.117 eV per atom. The calculation puts the total magnetic moment at 0.000 μB/f.u.

Cell lengths 7.3851, 7.2645, 12.4097 Å; angles 90.00, 125.66, 90.00 degrees
Space group P2_1/c (No. 14)
Unique sites:
Sm (0.1733, 0.0000, 0.2559)
Sm (0.2925, 0.2441, 0.5427)
Sm (0.2973, 0.7479, 0.0426)
Cd (0.2590, 0.5029, 0.2563)
Ni (0.0000, 0.0000, 0.0000)



Entry 11:
Sm5CdNi2: optimized geometry, PBE.

Calculated values
The raw total energy is -4.757 eV per atom. The calculation puts the total magnetic moment at 0.000 μB/f.u.

Cell lengths 7.9075, 7.9075, 13.3406 Å; angles 90.00, 90.00, 90.00 degrees
Space group I4/mcm (No. 140)
Unique sites:
Sm (0.0000, 0.0000, 0.0000)
Sm (0.1601, 0.3399, 0.1354)
Cd (0.0000, 0.0000, 0.2500)
Ni (0.1225, 0.3775, 0.5000)



Entry 12:
Sm11Cd9Ni4: optimized geometry, PBE.

Calculated values
The raw total energy is -3.834 eV per atom. The calculation puts the total magnetic moment at 0.458 μB/f.u.

Cell lengths 14.7523, 22.1337, 3.6561 Å; angles 90.00, 90.00, 90.00 degrees
Space group Cmmm (No. 65)
Unique sites:
Sm (0.0000, 0.0000, 0.0000)
Sm (0.0000, 0.1610, 0.0000)
Sm (0.0000, 0.3737, 0.0000)
Sm (0.1891, 0.5000, 0.0000)
Sm (0.2490, 0.1681, 0.0000)
Cd (0.0000, 0.5000, 0.5000)
Cd (0.1029, 0.2630, 0.5000)
Cd (0.1485, 0.0700, 0.5000)
Ni (0.1494, 0.3999, 0.5000)



Entry 13:
Sm2Zn2CdNi5: optimized geometry, PBE.

Calculated values
The raw total energy is -4.380 eV per atom. The calculation puts the total magnetic moment at 0.000 μB/f.u.

Cell lengths 9.4494, 9.4494, 3.6577 Å; angles 90.00, 90.00, 90.00 degrees
Space group P4/mbm (No. 127)
Unique sites:
Sm (0.1815, 0.3185, 0.0000)
Zn (0.1140, 0.6140, 0.0000)
Cd (0.0000, 0.0000, 0.0000)
Ni (0.0000, 0.5000, 0.5000)
Ni (0.0623, 0.7840, 0.5000)



Entry 14:
Sm2Zn3CdNi12: optimized geometry, PBE.

Calculated values
The raw total energy is -4.541 eV per atom. The calculation puts the total magnetic moment at 0.000 μB/f.u.

Cell lengths 6.1862, 6.1862, 25.8475 Å; angles 90.00, 90.00, 120.00 degrees
Space group R-3m (No. 166, hexagonal axes)
Unique sites:
Sm (0.0000, 0.0000, 0.1381)
Zn (0.0000, 0.5000, 0.0000)
Cd (0.0000, 0.0000, 0.5000)
Ni (0.0682, 0.5341, 0.9006)
Ni (0.0799, 0.5399, 0.6228)



Entry 15:
Cd2NiSn2: optimized geometry, PBE.

Calculated values
The raw total energy is -2.588 eV per atom. The calculation puts the total magnetic moment at 0.000 μB/f.u. The polymorph energy (0 for the lowest one) comes out at 423 meV per atom.

Cell lengths 4.1176, 4.1176, 14.8657 Å; angles 90.00, 90.00, 90.00 degrees
Space group I4/mmm (No. 139)
Unique sites:
Cd (0.0000, 0.0000, 0.0896)
Ni (0.0000, 0.0000, 0.5000)
Sn (0.0000, 0.5000, 0.2500)



Entry 16:
CdNi2Sn: optimized geometry, PBE.

Calculated values
The raw total energy is -4.157 eV per atom. The calculation puts the total magnetic moment at 0.000 μB/f.u.

Cell lengths 3.1543, 3.1543, 6.3123 Å; angles 90.00, 90.00, 90.00 degrees
Space group P4/mmm (No. 123)
Unique sites:
Cd (0.0000, 0.0000, 0.0000)
Ni (0.5000, 0.5000, 0.2724)
Sn (0.0000, 0.0000, 0.5000)



Entry 17:
CdNi2Sn: optimized geometry, PBE.

Calculated values
The raw total energy is -4.163 eV per atom. The calculation puts the total magnetic moment at 0.000 μB/f.u.

Cell lengths 4.4284, 4.4284, 3.1733 Å; angles 90.00, 90.00, 90.00 degrees
Space group P4/mmm (No. 123)
Unique sites:
Cd (0.0000, 0.0000, 0.0000)
Ni (0.0000, 0.5000, 0.5000)
Sn (0.5000, 0.5000, 0.0000)